# 1
A relaxed structure of ZnTcCl2, computed with GGA-PBE.

Unit cell a=2.9911 b=4.4846 c=13.9677 alpha=90.00 beta=90.00 gamma=90.00
With the nearest neighbours (Å) after each atom.
Atoms (fractional coordinates):
Zn 0.0000 0.0000 0.0000  4 Tc 2.70, 4 Cl 2.96, 2 Zn 2.99
Zn 0.5000 0.5000 0.5000  4 Tc 2.70, 4 Cl 2.96, 2 Zn 2.99
Tc 0.0000 0.0000 0.5000  4 Cl 2.44, 4 Zn 2.70
Tc 0.5000 0.5000 0.0000  4 Cl 2.44, 4 Zn 2.70
Cl 0.0000 0.5000 0.1380  2 Tc 2.44
Cl 0.0000 0.5000 0.8620  2 Tc 2.44
Cl 0.5000 0.0000 0.3620  2 Tc 2.44
Cl 0.5000 0.0000 0.6380  2 Tc 2.44

Results
Energy in eV/atom: -4.00
Excess energy over the best structure of this formula in the dataset in meV per atom: 87
Uncorrected formation energy in eV/atom: -0.162

# 2
A relaxed structure of TlBr2N, computed with GGA-PBE.

Unit cell a=7.4748 b=7.4748 c=7.4748 alpha=90.00 beta=90.00 gamma=90.00
With the nearest neighbours (Å) after each atom.
Atoms (fractional coordinates):
Tl 0.0000 0.0000 0.0000  8 Br 3.24
Tl 0.0000 0.5000 0.5000  8 Br 3.24
Tl 0.5000 0.0000 0.5000  8 Br 3.24
Tl 0.5000 0.5000 0.0000  8 Br 3.24
Br 0.2500 0.2500 0.2500  4 Tl 3.24, 4 N 3.24
Br 0.2500 0.2500 0.7500  4 Tl 3.24, 4 N 3.24
Br 0.2500 0.7500 0.2500  4 Tl 3.24, 4 N 3.24
Br 0.2500 0.7500 0.7500  4 Tl 3.24, 4 N 3.24
Br 0.7500 0.2500 0.2500  4 Tl 3.24, 4 N 3.24
Br 0.7500 0.2500 0.7500  4 Tl 3.24, 4 N 3.24
Br 0.7500 0.7500 0.2500  4 Tl 3.24, 4 N 3.24
Br 0.7500 0.7500 0.7500  4 Tl 3.24, 4 N 3.24
N 0.0000 0.0000 0.5000  8 Br 3.24
N 0.0000 0.5000 0.0000  8 Br 3.24
N 0.5000 0.0000 0.0000  8 Br 3.24
N 0.5000 0.5000 0.5000  8 Br 3.24

Results
Energy in eV/atom: -2.52
Excess energy over the best structure of this formula in the dataset in meV per atom: 414
Uncorrected formation energy in eV/atom: 0.987

# 3
A relaxed structure of NbZn3Fe, computed with GGA-PBE.

Unit cell a=4.3986 b=4.3986 c=4.3986 alpha=90.00 beta=90.00 gamma=90.00
With the nearest neighbours (Å) after each atom.
Atoms (fractional coordinates):
Nb 0.0000 0.0000 0.0000  12 Zn 3.11
Zn 0.0000 0.5000 0.5000  2 Fe 2.20
Zn 0.5000 0.0000 0.5000  2 Fe 2.20
Zn 0.5000 0.5000 0.0000  2 Fe 2.20
Fe 0.5000 0.5000 0.5000  6 Zn 2.20

Results
Energy in eV/atom: -3.65
Formation energy in eV per formula unit: 4.08
Excess energy over the best structure of this formula in the dataset in meV per atom: 0

# 4
A relaxed structure of Zn7Ag3Au, computed with GGA-PBE.

Unit cell a=11.1231 b=11.1231 c=11.5106 alpha=90.00 beta=90.00 gamma=165.23
With the nearest neighbours (Å) after each atom.
Atoms (fractional coordinates):
Zn 0.0193 0.9807 0.6089  3 Zn 2.65-2.86, 2 Au 2.69, 4 Ag 2.72-2.95
Zn 0.0193 0.9807 0.8911  3 Zn 2.65-2.86, 2 Au 2.69, 4 Ag 2.72-2.95
Zn 0.1411 0.8589 0.2500  5 Ag 2.75-2.90, 6 Zn 2.86-2.89
Zn 0.1553 0.8447 0.5854  5 Zn 2.69-2.92, 2 Au 2.76, 4 Ag 2.83-2.86
Zn 0.1553 0.8447 0.9146  5 Zn 2.69-2.92, 2 Au 2.76, 4 Ag 2.83-2.86
Zn 0.2876 0.7124 0.5794  9 Zn 2.69-2.92, 3 Ag 2.77-2.83
Zn 0.2876 0.7124 0.9206  9 Zn 2.69-2.92, 3 Ag 2.77-2.83
Zn 0.7124 0.2876 0.0794  9 Zn 2.69-2.92, 3 Ag 2.77-2.83
Zn 0.7124 0.2876 0.4206  9 Zn 2.69-2.92, 3 Ag 2.77-2.83
Zn 0.8447 0.1553 0.0854  5 Zn 2.69-2.92, 2 Au 2.76, 4 Ag 2.83-2.86
Zn 0.8447 0.1553 0.4146  5 Zn 2.69-2.92, 2 Au 2.76, 4 Ag 2.83-2.86
Zn 0.8589 0.1411 0.7500  5 Ag 2.75-2.90, 6 Zn 2.86-2.89
Zn 0.9807 0.0193 0.1089  3 Zn 2.65-2.86, 2 Au 2.69, 4 Ag 2.72-2.95
Zn 0.9807 0.0193 0.3911  3 Zn 2.65-2.86, 2 Au 2.69, 4 Ag 2.72-2.95
Ag 0.2726 0.7274 0.2500  9 Zn 2.77-2.90, 2 Ag 2.86, 1 Au 2.99
Ag 0.4157 0.5843 0.5777  9 Zn 2.72-2.95, 2 Ag 2.86
Ag 0.4157 0.5843 0.9223  9 Zn 2.72-2.95, 2 Ag 2.86
Ag 0.5843 0.4157 0.0777  9 Zn 2.72-2.95, 2 Ag 2.86
Ag 0.5843 0.4157 0.4223  9 Zn 2.72-2.95, 2 Ag 2.86
Ag 0.7274 0.2726 0.7500  9 Zn 2.77-2.90, 2 Ag 2.86, 1 Au 2.99
Au 0.4082 0.5918 0.2500  8 Zn 2.69-2.76, 2 Au 2.86, 1 Ag 2.99
Au 0.5918 0.4082 0.7500  8 Zn 2.69-2.76, 2 Au 2.86, 1 Ag 2.99

Results
Energy in eV/atom: -1.92
Formation energy in eV per formula unit: -0.37
Excess energy over the best structure of this formula in the dataset in meV per atom: 0

# 5
A relaxed structure of LiBIr, computed with GGA-PBE.

Unit cell a=2.8576 b=2.8576 c=9.3221 alpha=90.00 beta=90.00 gamma=90.00
With the nearest neighbours (Å) after each atom.
Atoms (fractional coordinates):
Li 0.0000 0.0000 0.0000  5 B 2.61-2.88, 5 Ir 2.68-2.83, 4 Li 2.86
Li 0.5000 0.5000 0.5000  5 B 2.61-2.88, 5 Ir 2.68-2.83, 4 Li 2.86
B 0.0000 0.0000 0.2798  4 Ir 2.12
B 0.5000 0.5000 0.7798  4 Ir 2.12
Ir 0.0000 0.0000 0.7127  4 B 2.12
Ir 0.5000 0.5000 0.2127  4 B 2.12

Results
Energy in eV/atom: -6.01
Formation energy in eV per formula unit: -0.57
Excess energy over the best structure of this formula in the dataset in meV per atom: 315

# 6
A relaxed structure of Dy5Er3, computed with GGA-PBE.

Unit cell a=3.6030 b=5.5811 c=12.4781 alpha=90.00 beta=90.00 gamma=90.00
With the nearest neighbours (Å) after each atom.
Atoms (fractional coordinates):
Dy 0.0000 0.0000 0.0000  6 Er 3.48-3.58, 6 Dy 3.49-3.61
Dy 0.0000 0.0000 0.4973  8 Dy 3.48-3.62, 4 Er 3.48-3.59
Dy 0.0000 0.5000 0.8322  10 Dy 3.48-3.62, 2 Er 3.61
Dy 0.5000 0.0000 0.7488  12 Dy 3.48-3.62
Dy 0.5000 0.5000 0.5803  10 Dy 3.48-3.62, 2 Er 3.60
Er 0.0000 0.5000 0.3305  8 Er 3.48-3.60, 4 Dy 3.48-3.60
Er 0.5000 0.0000 0.2481  8 Er 3.47-3.60, 4 Dy 3.58-3.59
Er 0.5000 0.5000 0.0826  6 Er 3.47-3.60, 6 Dy 3.48-3.61

Results
Energy in eV/atom: -4.58
Formation energy in eV per formula unit: 0.03

Copy entry 1 word for word.
A relaxed structure of ZnTcCl2, computed with GGA-PBE.

Unit cell a=2.9911 b=4.4846 c=13.9677 alpha=90.00 beta=90.00 gamma=90.00
With the nearest neighbours (Å) after each atom.
Atoms (fractional coordinates):
Zn 0.0000 0.0000 0.0000  4 Tc 2.70, 4 Cl 2.96, 2 Zn 2.99
Zn 0.5000 0.5000 0.5000  4 Tc 2.70, 4 Cl 2.96, 2 Zn 2.99
Tc 0.0000 0.0000 0.5000  4 Cl 2.44, 4 Zn 2.70
Tc 0.5000 0.5000 0.0000  4 Cl 2.44, 4 Zn 2.70
Cl 0.0000 0.5000 0.1380  2 Tc 2.44
Cl 0.0000 0.5000 0.8620  2 Tc 2.44
Cl 0.5000 0.0000 0.3620  2 Tc 2.44
Cl 0.5000 0.0000 0.6380  2 Tc 2.44

Results
Energy in eV/atom: -4.00
Excess energy over the best structure of this formula in the dataset in meV per atom: 87
Uncorrected formation energy in eV/atom: -0.162